KYOs2 | PBE | relaxed

a = 3.826 Å, b = 3.826 Å, c = 7.488 Å
α = 90.00°, β = 90.00°, γ = 90.00°
Space group P4/mmm (No. 123)
Inequivalent atoms, fractional coordinates:
K 0.000 0.000 0.000
Y 0.000 0.000 0.500
Os 0.500 0.500 0.345

Values from the calculation:
distance to the lowest polymorph of the same formula	2.43	eV/f.u.
ΔH_f (0 K)	0.95	eV/atom
magnetization	1.08	μB/f.u.